Entry A
Computed, not measured: a relaxed NbAu3Cl crystal at the PBE level of DFT.

```
data_NbAu3Cl
_chemical_formula_sum 'Nb1 Au3 Cl1'
_cell_length_a 5.181
_cell_length_b 5.181
_cell_length_c 5.181
_cell_angle_alpha 90.00
_cell_angle_beta 90.00
_cell_angle_gamma 90.00
_space_group_name_H-M_alt 'P m -3 m'
_space_group_IT_number 221
_space_group_name_Hall '-P 4 2 3'
loop_
_atom_site_label
_atom_site_fract_x
_atom_site_fract_y
_atom_site_fract_z
_atom_site_occupancy
Nb1 0.000 0.000 0.000 1
Au1 0.000 0.000 0.500 1
Cl1 0.500 0.500 0.500 1
```

Results
- total moment (μB per cell) = 0.000

Entry B
Computed, not measured: a relaxed NbAu3Cl crystal at the PBE level of DFT.

```
data_NbAu3Cl
_chemical_formula_sum 'Nb1 Au3 Cl1'
_cell_length_a 4.861
_cell_length_b 4.861
_cell_length_c 4.861
_cell_angle_alpha 90.00
_cell_angle_beta 90.00
_cell_angle_gamma 90.00
_space_group_name_H-M_alt 'P m -3 m'
_space_group_IT_number 221
_space_group_name_Hall '-P 4 2 3'
loop_
_atom_site_label
_atom_site_fract_x
_atom_site_fract_y
_atom_site_fract_z
_atom_site_occupancy
Nb1 0.000 0.000 0.000 1
Au1 0.000 0.500 0.500 1
Cl1 0.500 0.500 0.500 1
```

Results
- total moment (μB per cell) = 2.945

Least stable = entry B

Entry A
Computed, not measured: a relaxed NbAuCl3 crystal at the PBE level of DFT.

```
data_NbAuCl3
_chemical_formula_sum 'Nb1 Au1 Cl3'
_cell_length_a 5.065
_cell_length_b 5.065
_cell_length_c 5.065
_cell_angle_alpha 90.00
_cell_angle_beta 90.00
_cell_angle_gamma 90.00
_space_group_name_H-M_alt 'P m -3 m'
_space_group_IT_number 221
_space_group_name_Hall '-P 4 2 3'
loop_
_atom_site_label
_atom_site_fract_x
_atom_site_fract_y
_atom_site_fract_z
_atom_site_occupancy
Nb1 0.000 0.000 0.000 1
Au1 0.500 0.500 0.500 1
Cl1 0.000 0.500 0.500 1
```

Results
- total moment (μB per cell) = 3.504

Entry B
Computed, not measured: a relaxed NbAuCl3 crystal at the PBE level of DFT.

```
data_NbAuCl3
_chemical_formula_sum 'Nb1 Au1 Cl3'
_cell_length_a 4.909
_cell_length_b 4.909
_cell_length_c 4.909
_cell_angle_alpha 90.00
_cell_angle_beta 90.00
_cell_angle_gamma 90.00
_space_group_name_H-M_alt 'P m -3 m'
_space_group_IT_number 221
_space_group_name_Hall '-P 4 2 3'
loop_
_atom_site_label
_atom_site_fract_x
_atom_site_fract_y
_atom_site_fract_z
_atom_site_occupancy
Nb1 0.000 0.000 0.000 1
Au1 0.500 0.500 0.500 1
Cl1 0.000 0.000 0.500 1
```

Results
- total moment (μB per cell) = 1.037

Least stable = entry A

Entry A
Computed, not measured: a relaxed NbAuCl2 crystal at the PBE level of DFT.

```
data_NbAuCl2
_chemical_formula_sum 'Nb4 Au4 Cl8'
_cell_length_a 8.817
_cell_length_b 8.817
_cell_length_c 5.412
_cell_angle_alpha 90.00
_cell_angle_beta 90.00
_cell_angle_gamma 90.00
_space_group_name_H-M_alt 'I -4 2 d'
_space_group_IT_number 122
_space_group_name_Hall 'I -4 2bw'
loop_
_atom_site_label
_atom_site_fract_x
_atom_site_fract_y
_atom_site_fract_z
_atom_site_occupancy
Nb1 0.000 0.000 0.000 1
Au1 0.000 0.000 0.500 1
Cl1 0.109 0.250 0.125 1
```

Results
- total moment (μB per cell) = 7.217

Entry B
Computed, not measured: a relaxed NbAuCl2 crystal at the PBE level of DFT.

```
data_NbAuCl2
_chemical_formula_sum 'Nb3 Au3 Cl6'
_cell_length_a 3.0770
_cell_length_b 3.0770
_cell_length_c 34.0046
_cell_angle_alpha 90.00
_cell_angle_beta 90.00
_cell_angle_gamma 120.00
_space_group_name_H-M_alt 'R -3 m'
_space_group_IT_number 166
_space_group_name_Hall '-R 3 2"'
loop_
_atom_site_label
_atom_site_fract_x
_atom_site_fract_y
_atom_site_fract_z
_atom_site_occupancy
Nb1 0.0000 0.0000 0.0000 1
Au1 0.0000 0.0000 0.5000 1
Cl1 0.0000 0.0000 0.3867 1
```

Results
- total moment (μB per cell) = 0.000

Least stable = entry A

Entry A
Computed, not measured: a relaxed NiAuCl2 crystal at the PBE level of DFT.

```
data_NiAuCl2
_chemical_formula_sum 'Ni4 Au4 Cl8'
_cell_length_a 6.610
_cell_length_b 6.610
_cell_length_c 6.610
_cell_angle_alpha 90.00
_cell_angle_beta 90.00
_cell_angle_gamma 90.00
_space_group_name_H-M_alt 'F -4 3 m'
_space_group_IT_number 216
_space_group_name_Hall 'F -4 2 3'
loop_
_atom_site_label
_atom_site_fract_x
_atom_site_fract_y
_atom_site_fract_z
_atom_site_occupancy
Ni1 0.000 0.000 0.000 1
Au1 0.250 0.250 0.750 1
Cl1 0.000 0.000 0.500 1
Cl2 0.250 0.250 0.250 1
```

Results
- total moment (μB per cell) = 4.616

Entry B
Computed, not measured: a relaxed NiAuCl2 crystal at the PBE level of DFT.

```
data_NiAuCl2
_chemical_formula_sum 'Ni4 Au4 Cl8'
_cell_length_a 5.966
_cell_length_b 5.966
_cell_length_c 10.095
_cell_angle_alpha 90.00
_cell_angle_beta 90.00
_cell_angle_gamma 90.00
_space_group_name_H-M_alt 'I -4 2 d'
_space_group_IT_number 122
_space_group_name_Hall 'I -4 2bw'
loop_
_atom_site_label
_atom_site_fract_x
_atom_site_fract_y
_atom_site_fract_z
_atom_site_occupancy
Ni1 0.000 0.000 0.000 1
Au1 0.000 0.000 0.500 1
Cl1 0.192 0.250 0.125 1
```

Results
- total moment (μB per cell) = 4.096

Least stable = entry A

Entry A
Computed, not measured: a relaxed NiAuCl2 crystal at the PBE level of DFT.

```
data_NiAuCl2
_chemical_formula_sum 'Ni1 Au1 Cl2'
_cell_length_a 3.962
_cell_length_b 3.313
_cell_length_c 7.164
_cell_angle_alpha 90.00
_cell_angle_beta 104.41
_cell_angle_gamma 90.00
_space_group_name_H-M_alt 'P 1 m 1'
_space_group_IT_number 6
loop_
_space_group_symop_operation_xyz
'x,y,z'
'x,-y,z'
loop_
_atom_site_label
_atom_site_fract_x
_atom_site_fract_y
_atom_site_fract_z
_atom_site_occupancy
Ni1 0.000 0.000 0.000 1
Au1 0.441 0.500 0.885 1
Cl1 0.118 0.500 0.223 1
Cl2 0.816 0.000 0.682 1
```

Results
- total moment (μB per cell) = 1.024

Entry B
Computed, not measured: a relaxed NiAuCl2 crystal at the PBE level of DFT.

```
data_NiAuCl2
_chemical_formula_sum 'Ni2 Au2 Cl4'
_cell_length_a 3.583
_cell_length_b 3.583
_cell_length_c 13.331
_cell_angle_alpha 90.00
_cell_angle_beta 90.00
_cell_angle_gamma 90.00
_space_group_name_H-M_alt 'I -4 m 2'
_space_group_IT_number 119
_space_group_name_Hall 'I -4 -2'
loop_
_atom_site_label
_atom_site_fract_x
_atom_site_fract_y
_atom_site_fract_z
_atom_site_occupancy
Ni1 0.000 0.000 0.000 1
Au1 0.000 0.500 0.750 1
Cl1 0.000 0.000 0.500 1
Cl2 0.000 0.500 0.250 1
```

Results
- total moment (μB per cell) = 1.978

Least stable = entry B

Entry A
Computed, not measured: a relaxed NiAuCl2 crystal at the PBE level of DFT.

```
data_NiAuCl2
_chemical_formula_sum 'Ni1 Au1 Cl2'
_cell_length_a 4.651
_cell_length_b 4.651
_cell_length_c 3.333
_cell_angle_alpha 90.00
_cell_angle_beta 90.00
_cell_angle_gamma 90.00
_space_group_name_H-M_alt 'P 4/m m m'
_space_group_IT_number 123
_space_group_name_Hall '-P 4 2'
loop_
_atom_site_label
_atom_site_fract_x
_atom_site_fract_y
_atom_site_fract_z
_atom_site_occupancy
Ni1 0.000 0.000 0.000 1
Au1 0.500 0.500 0.000 1
Cl1 0.000 0.500 0.500 1
```

Results
- total moment (μB per cell) = 1.064

Entry B
Computed, not measured: a relaxed NiAuCl2 crystal at the PBE level of DFT.

```
data_NiAuCl2
_chemical_formula_sum 'Ni2 Au2 Cl4'
_cell_length_a 7.078
_cell_length_b 7.191
_cell_length_c 3.393
_cell_angle_alpha 90.00
_cell_angle_beta 91.97
_cell_angle_gamma 90.00
_space_group_name_H-M_alt 'C 1 2/m 1'
_space_group_IT_number 12
loop_
_space_group_symop_operation_xyz
'x,y,z'
'-x,-y,-z'
'-x,y,-z'
'x,-y,z'
'x+1/2,y+1/2,z'
'-x+1/2,-y+1/2,-z'
'-x+1/2,y+1/2,-z'
'x+1/2,-y+1/2,z'
loop_
_atom_site_label
_atom_site_fract_x
_atom_site_fract_y
_atom_site_fract_z
_atom_site_occupancy
Ni1 0.000 0.000 0.000 1
Au1 0.000 0.500 0.000 1
Cl1 0.250 0.250 0.000 1
```

Results
- total moment (μB per cell) = 1.934

Entry C
Computed, not measured: a relaxed NiAuCl2 crystal at the PBE level of DFT.

```
data_NiAuCl2
_chemical_formula_sum 'Ni2 Au2 Cl4'
_cell_length_a 3.036
_cell_length_b 5.901
_cell_length_c 9.824
_cell_angle_alpha 90.00
_cell_angle_beta 90.00
_cell_angle_gamma 90.00
_space_group_name_H-M_alt 'C m m m'
_space_group_IT_number 65
_space_group_name_Hall '-C 2 2'
loop_
_atom_site_label
_atom_site_fract_x
_atom_site_fract_y
_atom_site_fract_z
_atom_site_occupancy
Ni1 0.000 0.000 0.000 1
Au1 0.000 0.000 0.500 1
Cl1 0.000 0.500 0.158 1
```

Results
- total moment (μB per cell) = 0.000

Least stable = entry A